Crystalline BaZn3F at its relaxed geometry, computed with PBE.

Unit cell a=6.646 b=6.646 c=6.646 alpha=90.00 beta=90.00 gamma=90.00
Positions (direct):
Zn  0.000  0.500  0.000
Zn  0.000  0.000  0.500
Zn  0.500  0.000  0.000
Ba  0.000  0.000  0.000
F  0.500  0.500  0.500

Theoretical density, g/cm³: 1.99
Relative energy among the computed polymorphs, kJ/mol of atoms: 72.5
Uncorrected formation energy, eV per formula unit: 1.58
Space group: No. 221

---

Crystalline CoNi2Br at its relaxed geometry, computed with PBE.

Unit cell a=7.795 b=7.795 c=7.795 alpha=21.62 beta=21.62 gamma=21.62
Each line ends with the local moment (μB).
Positions (direct):
Br  0.250  0.250  0.250  -0.01
Co  0.750  0.750  0.750  1.88
Ni  0.006  0.006  0.006  0.53
Ni  0.494  0.494  0.494  0.53

Theoretical density, g/cm³: 7.55
Relative energy among the computed polymorphs, kJ/mol of atoms: 18.5
Uncorrected formation energy, eV per formula unit: 2.31
Space group: No. 166

---

Crystalline Ba2Na2ReO6 at its relaxed geometry, computed with PBE.

Unit cell a=6.392 b=6.392 c=5.935 alpha=96.13 beta=96.13 gamma=119.03
Each line ends with the local moment (μB).
Positions (direct):
Ba  0.338  0.662  0.500  0.01
Ba  0.662  0.338  0.500  0.01
Na  0.879  0.121  0.000  0.01
Na  0.121  0.879  0.000  0.01
Re  0.000  0.000  0.500  0.72
O  0.793  0.793  0.704  0.04
O  0.032  0.289  0.687  0.01
O  0.207  0.207  0.296  0.04
O  0.289  0.032  0.687  0.01
O  0.968  0.711  0.313  0.01
O  0.711  0.968  0.313  0.01

Theoretical density, g/cm³: 4.83
Uncorrected formation energy, eV per formula unit: -21.59
Space group: No. 12

---

Crystalline CrCu3S4 at its relaxed geometry, computed with PBE.

Unit cell a=5.260 b=5.260 c=6.354 alpha=114.45 beta=114.45 gamma=90.00
Each line ends with the local moment (μB).
Positions (direct):
Cr  0.000  0.000  0.000  1.48
Cu  0.500  0.500  0.000  -0.10
Cu  0.750  0.250  0.500  -0.09
Cu  0.250  0.750  0.500  -0.09
S  0.362  0.362  0.243  -0.07
S  0.881  0.881  0.243  -0.07
S  0.119  0.638  0.757  -0.07
S  0.638  0.119  0.757  -0.07

Theoretical density, g/cm³: 4.32
Uncorrected formation energy, eV per formula unit: -2.99
Space group: No. 121

---

Crystalline CaCu2Te at its relaxed geometry, computed with PBE.

Unit cell a=3.789 b=3.789 c=5.870 alpha=90.00 beta=90.00 gamma=90.03
Positions (direct):
Ca  0.500  0.500  0.750
Te  0.500  0.500  0.250
Cu  0.000  0.000  0.018
Cu  0.000  0.000  0.482

Theoretical density, g/cm³: 5.81
Uncorrected formation energy, eV per formula unit: -0.52
Space group: No. 123

---

Crystalline ThRe4P12 at its relaxed geometry, computed with PBE.

Unit cell a=7.126 b=7.126 c=7.126 alpha=109.47 beta=109.47 gamma=109.47
Each line ends with the local moment (μB).
Positions (direct):
Th  0.000  0.000  0.000  0.03
Re  0.000  0.500  0.000  0.55
Re  0.500  0.000  0.000  0.55
Re  0.500  0.500  0.500  0.55
Re  0.000  0.000  0.500  0.55
P  0.859  0.355  0.214  0.02
P  0.355  0.496  0.141  0.02
P  0.786  0.141  0.645  0.02
P  0.355  0.214  0.859  0.02
P  0.214  0.859  0.355  0.02
P  0.645  0.504  0.859  0.02
P  0.496  0.141  0.355  0.02
P  0.504  0.859  0.645  0.02
P  0.645  0.786  0.141  0.02
P  0.859  0.645  0.504  0.02
P  0.141  0.355  0.496  0.02
P  0.141  0.645  0.786  0.02

Theoretical density, g/cm³: 8.04
ΔH_f (0 K), eV per atom: -0.367
Space group: No. 204

---

What did the fourth record say?
Crystalline CrCu3S4 at its relaxed geometry, computed with PBE.

Unit cell a=5.260 b=5.260 c=6.354 alpha=114.45 beta=114.45 gamma=90.00
Each line ends with the local moment (μB).
Positions (direct):
Cr  0.000  0.000  0.000  1.48
Cu  0.500  0.500  0.000  -0.10
Cu  0.750  0.250  0.500  -0.09
Cu  0.250  0.750  0.500  -0.09
S  0.362  0.362  0.243  -0.07
S  0.881  0.881  0.243  -0.07
S  0.119  0.638  0.757  -0.07
S  0.638  0.119  0.757  -0.07

Theoretical density, g/cm³: 4.32
Uncorrected formation energy, eV per formula unit: -2.99
Space group: No. 121

---

> Which of these has the highest theoretical density?

ThRe4P12

---

> Which of these has the highest theoretical density?

ThRe4P12